No. 1
LaTcIN2: optimized geometry, PBE. Values from VASP.

Energy (eV/atom): -6.437
Formation energy without anion corrections (meV/atom): 262
Energy relative to the lowest polymorph listed for this composition (eV/atom): 0.000
Space-group type: P4/mmm

Cell and atoms, written as Quantum ESPRESSO input:
```
&SYSTEM
  ibrav = 0, nat = 5, ntyp = 4
/
ATOMIC_SPECIES
I 126.90 I.upf
N 14.01 N.upf
Tc 98.00 Tc.upf
La 138.91 La.upf
CELL_PARAMETERS angstrom
4.1730 0.0000 0.0000
0.0000 4.1730 0.0000
0.0000 0.0000 5.2688
ATOMIC_POSITIONS angstrom
I 0.0000 0.0000 2.6344
N 0.0000 2.0865 0.0000
N 2.0865 0.0000 0.0000
Tc 0.0000 0.0000 0.0000
La 2.0865 2.0865 2.6344
```

No. 2
LaTiCdBr2: optimized geometry, PBE. Values from VASP.

Energy (eV/atom): -2.903
Formation energy without anion corrections (meV/atom): 514
Space-group type: P4/mmm

Cell and atoms, written as Quantum ESPRESSO input:
```
&SYSTEM
  ibrav = 0, nat = 5, ntyp = 4
/
ATOMIC_SPECIES
Cd 112.41 Cd.upf
Ti 47.87 Ti.upf
Br 79.90 Br.upf
La 138.91 La.upf
CELL_PARAMETERS angstrom
-0.1486 5.4397 0.3858
-6.2386 -0.1417 -0.4061
-0.3445 -0.3946 5.4302
ATOMIC_POSITIONS angstrom
Cd 0.0000 0.0000 0.0000
Ti -3.3659 2.4518 2.7050
Br -0.1723 -0.1973 2.7151
Br -0.0743 2.7199 0.1929
La -3.1193 -0.0708 -0.2031
```

No. 3
Zr2RhPb: optimized geometry, PBE. Values from VASP.

Energy (eV/atom): -7.322
Space-group type: P4mm
Energy relative to the elements (eV per atom): -0.2833

Cell and atoms, written as Quantum ESPRESSO input:
```
&SYSTEM
  ibrav = 0, nat = 4, ntyp = 3
/
ATOMIC_SPECIES
Pb 207.20 Pb.upf
Rh 102.91 Rh.upf
Zr 91.22 Zr.upf
CELL_PARAMETERS angstrom
-0.6174 -2.4679 2.1333
-1.5118 -1.7075 -2.4129
6.8167 -3.3488 -1.9012
ATOMIC_POSITIONS angstrom
Pb 3.5949 -1.7660 -1.0026
Rh 4.2370 -4.6922 -1.6184
Zr 6.5426 -3.2141 -1.8247
Zr 0.5381 -2.8750 -0.5868
```

No. 4
CaAs4Rh6: optimized geometry, PBE. Values from VASP.

Energy (eV/atom): -6.542
Space-group type: P-6m2
Energy relative to the elements (eV per atom): -0.6596

Cell and atoms, written as Quantum ESPRESSO input:
```
&SYSTEM
  ibrav = 0, nat = 11, ntyp = 3
/
ATOMIC_SPECIES
As 74.92 As.upf
Ca 40.08 Ca.upf
Rh 102.91 Rh.upf
CELL_PARAMETERS angstrom
-0.9617 -5.0964 5.1172
6.5309 0.8455 -3.1171
0.9580 2.5213 2.6910
ATOMIC_POSITIONS angstrom
As 4.0334 -1.1351 -0.3724
As 0.9310 -2.7146 4.9092
As 3.7653 -2.3477 3.5564
As 1.3483 -0.5029 2.6884
Ca -0.9617 -5.0963 5.1172
Rh 2.5215 -2.3341 1.2892
Rh -0.0559 -2.6678 2.5194
Rh 2.1420 -4.3453 3.3087
Rh 5.5140 0.9199 -0.1276
Rh 2.8949 0.5808 1.1225
Rh 5.1283 -1.1240 1.9246
```

No. 5
Al3SbPd: optimized geometry, PBE. Values from VASP.

Energy (eV/atom): -4.119
Formation energy without anion corrections (meV/atom): -10
Energy relative to the lowest polymorph listed for this composition (eV/atom): 0.000
Space-group type: Pm-3m

Cell and atoms, written as Quantum ESPRESSO input:
```
&SYSTEM
  ibrav = 0, nat = 5, ntyp = 3
/
ATOMIC_SPECIES
Sb 121.76 Sb.upf
Al 26.98 Al.upf
Pd 106.42 Pd.upf
CELL_PARAMETERS angstrom
-4.7759 -0.3986 0.0248
0.3459 -3.9785 2.6498
-0.1998 2.6424 3.9934
ATOMIC_POSITIONS angstrom
Sb -2.3149 -0.8674 3.3340
Al 0.1729 -1.9892 1.3249
Al -0.0999 1.3212 1.9967
Al -2.3880 -0.1993 0.0124
Pd 0.0000 0.0000 0.0000
```

No. 6
Co4Rh5: optimized geometry, PBE. Values from VASP.

Energy (eV/atom): -7.164
Space-group type: I4/mmm
Energy relative to the elements (eV per atom): 0.0785

Cell and atoms, written as Quantum ESPRESSO input:
```
&SYSTEM
  ibrav = 0, nat = 9, ntyp = 2
/
ATOMIC_SPECIES
Co 58.93 Co.upf
Rh 102.91 Rh.upf
CELL_PARAMETERS angstrom
7.8808 0.0000 0.0000
0.0000 7.8808 0.0000
3.9404 3.9404 1.8808
ATOMIC_POSITIONS angstrom
Co 0.0000 2.7145 0.0000
Co 0.0000 5.1663 0.0000
Co 2.7145 0.0000 0.0000
Co 5.1663 0.0000 0.0000
Rh 0.0000 0.0000 0.0000
Rh 2.6080 2.6080 0.0000
Rh 2.6080 5.2729 0.0000
Rh 5.2729 2.6080 0.0000
Rh 5.2729 5.2729 0.0000
```